Zr4CS5: optimized geometry, PBE.

```
10
Lattice="7.862 -1.778 0.000 7.862 1.778 0.000 -1.539 0.000 7.043" Properties=species:S:1:pos:R:3 pbc="T T T"
Zr -0.406 0.000 1.914
Zr 4.806 0.000 2.975
Zr 9.379 0.000 4.067
Zr 14.592 0.000 5.128
C 7.093 0.000 3.521
S 1.299 0.000 5.857
S 2.171 0.000 2.285
S 7.862 0.000 0.000
S 12.015 0.000 4.757
S 12.887 0.000 1.185
```


NaMgFe2Cl: optimized geometry, PBE.

```
5
Lattice="4.849 0.000 0.000 0.000 4.849 0.000 0.000 0.000 5.547" Properties=species:S:1:pos:R:3 pbc="T T T"
Na 0.000 0.000 0.000
Mg 0.000 0.000 2.774
Fe 0.000 2.424 0.000
Fe 2.424 0.000 0.000
Cl 2.424 2.424 2.774
```


Sr2FeN2: optimized geometry, PBE.

```
20
Lattice="6.382 0.000 0.000 0.000 5.207 0.000 0.000 0.000 10.849" Properties=species:S:1:pos:R:3 pbc="T T T"
Sr 0.346 1.302 2.010
Sr 1.074 1.302 5.995
Sr 2.117 3.905 0.571
Sr 2.845 3.905 7.434
Sr 3.537 1.302 3.415
Sr 4.265 1.302 10.278
Sr 5.309 3.905 4.854
Sr 6.036 3.905 8.839
Fe 1.420 1.302 9.043
Fe 1.771 3.905 3.618
Fe 4.612 1.302 7.231
Fe 4.962 3.905 1.806
N 0.238 3.905 2.610
N 1.467 3.905 5.380
N 1.724 1.302 10.805
N 2.953 1.302 8.035
N 3.429 3.905 2.814
N 4.658 3.905 0.044
N 4.915 1.302 5.469
N 6.145 1.302 8.239
```


no.,total DFT energy (no corrections) (eV/cell)
1,-78.23
2,-14.70
3,-123.57